[1]
The following is a PBE calculation of a geometry-optimized Li2MnPt structure, from Alexandria.

Crystal system = tetragonal
Energy relative to the elements = -242 meV/atom
M_tot = 4.2 μB/cell
D(E_F) = 2.61 states/eV/f.u.

Cell: 3.7464 3.7464 4.1254 Å, 90.00 90.00 90.00°
Closest atoms and distances in Å follow each position.
Fractional coordinates of all 4 atoms:
1 Li 0.5000 0.5000 0.0000  4 Li 2.65, 4 Mn 2.79, 4 Pt 2.79
2 Li 0.0000 0.0000 0.0000  4 Li 2.65, 4 Mn 2.79, 4 Pt 2.79
3 Mn 0.5000 0.0000 0.5000  4 Pt 2.65, 8 Li 2.79
4 Pt 0.0000 0.5000 0.5000  4 Mn 2.65, 8 Li 2.79

[2]
The following is a PBE calculation of a geometry-optimized LiMnPt structure, from Alexandria.

Crystal system = tetragonal
Energy relative to the elements = 44 meV/atom
M_tot = 0.0 μB/cell
D(E_F) = 3.33 states/eV/f.u.

Cell: 3.4470 3.4470 6.4818 Å, 90.00 90.00 90.00°
Closest atoms and distances in Å follow each position.
Fractional coordinates of all 6 atoms:
1 Mn 0.5000 0.5000 0.5000  4 Mn 2.44, 4 Pt 2.60, 4 Li 2.68
2 Li 0.0000 0.5000 0.1841  5 Pt 2.44-2.49, 4 Mn 2.68
3 Mn 0.0000 0.0000 0.5000  4 Mn 2.44, 4 Pt 2.60, 4 Li 2.68
4 Pt 0.5000 0.0000 0.1995  5 Li 2.44-2.49, 4 Mn 2.60
5 Li 0.5000 0.0000 0.8159  5 Pt 2.44-2.49, 4 Mn 2.68
6 Pt 0.0000 0.5000 0.8005  5 Li 2.44-2.49, 4 Mn 2.60

[3]
The following is a PBE calculation of a geometry-optimized LiMnPt structure, from Alexandria.

Crystal system = monoclinic
Energy relative to the elements = -190 meV/atom
M_tot = 0.0 μB/cell
D(E_F) = 2.25 states/eV/f.u.

Cell: 6.3690 2.6679 4.6672 Å, 90.00 100.12 90.00°
Closest atoms and distances in Å follow each position.
Fractional coordinates of all 6 atoms:
1 Mn 0.4637 0.0000 0.4804  1 Mn 2.01
2 Li 0.3988 0.5000 0.9868  2 Pt 2.40-2.52, 4 Li 2.55-2.67, 2 Mn 2.63
3 Li 0.0669 0.0000 0.7744  6 Pt 2.53-2.77, 4 Li 2.55-2.67, 1 Mn 2.73
4 Pt 0.1151 0.5000 0.3019  5 Li 2.52-2.77, 4 Mn 2.60-2.77, 2 Pt 2.67
5 Mn 0.7355 0.0000 0.3172  1 Mn 2.01
6 Pt 0.7414 0.5000 0.8417  3 Li 2.40-2.53, 4 Mn 2.59-2.60, 2 Pt 2.67

[4]
The following is a PBE calculation of a geometry-optimized Li2MnPt structure, from Alexandria.

Crystal system = monoclinic
Energy relative to the elements = -188 meV/atom
M_tot = 3.9 μB/cell
D(E_F) = 2.70 states/eV/f.u.

Cell: 4.9493 4.9493 4.7027 Å, 67.32 67.32 33.22°
Closest atoms and distances in Å follow each position.
Fractional coordinates of all 4 atoms:
1 Mn 0.5081 0.5081 0.4166  3 Pt 2.60-2.62, 7 Li 2.74-2.81, 2 Mn 2.83
2 Li 0.7485 0.7485 0.8217  5 Li 2.55-2.83, 4 Pt 2.70-2.79, 3 Mn 2.81
3 Pt 0.2526 0.2526 0.3295  3 Mn 2.60-2.62, 6 Li 2.68-2.79, 2 Pt 2.83
4 Li 0.9908 0.9908 0.9322  5 Li 2.55-2.83, 2 Pt 2.68, 4 Mn 2.74-2.75

[5]
The following is a PBE calculation of a geometry-optimized Li2MnPt structure, from Alexandria.

Crystal system = trigonal
Energy relative to the elements = -124 meV/atom
M_tot = 3.4 μB/cell
D(E_F) = 2.54 states/eV/f.u.

Cell: 9.1124 9.1124 9.1124 Å, 17.32 17.32 17.32°
Closest atoms and distances in Å follow each position.
Fractional coordinates of all 4 atoms:
1 Pt 0.7500 0.7500 0.7500  6 Li 2.64, 6 Pt 2.74
2 Li 0.0051 0.0051 0.0051  3 Pt 2.64, 6 Li 2.74, 3 Mn 2.86
3 Li 0.4949 0.4949 0.4949  3 Pt 2.64, 6 Li 2.74, 3 Mn 2.86
4 Mn 0.2500 0.2500 0.2500  6 Mn 2.74, 6 Li 2.86

[6]
The following is a PBE calculation of a geometry-optimized LiMnPt3 structure, from Alexandria.

Crystal system = cubic
Energy relative to the elements = 250 meV/atom
M_tot = 4.4 μB/cell
D(E_F) = 3.33 states/eV/f.u.

Cell: 4.2334 4.2334 4.2334 Å, 90.00 90.00 90.00°
Closest atoms and distances in Å follow each position.
Fractional coordinates of all 5 atoms:
1 Pt 0.5000 0.0000 0.0000  2 Li 2.12
2 Li 0.0000 0.0000 0.0000  6 Pt 2.12
3 Pt 0.0000 0.0000 0.5000  2 Li 2.12
4 Pt 0.0000 0.5000 0.0000  2 Li 2.12
5 Mn 0.5000 0.5000 0.5000  12 Pt 2.99